Compound: CuHgW
Source: the Alexandria database
Functional: PBE-GGA
Structure: relaxed

abc: 2.862 2.862 7.026
angles: 90.00 90.00 120.00
Fractional coordinates of all 3 atoms:
Cu1 0.000 0.000 0.990
W1 0.333 0.667 0.688
Hg1 0.667 0.333 0.321

As for the uncorrected energy: -5.210 eV/atom. For the energy of formation, the calculation gives 0.5736 eV/atom. As for the energy above the most stable polymorph in this dataset: 38 meV per atom. For the calculated volume, the calculation gives 16.61 A^3/atom.

=====

Compound: Ba3Cd2Pb9
Source: the Alexandria database
Functional: PBE-GGA
Structure: relaxed

abc: 5.523 9.840 9.840
angles: 73.85 73.70 73.70
Fractional coordinates of all 14 atoms:
Cd1 0.500 0.659 0.341
Cd2 0.500 0.341 0.659
Pb1 0.638 0.722 0.003
Pb2 0.638 0.003 0.722
Pb3 0.362 0.997 0.278
Pb4 0.149 0.134 0.568
Pb5 0.149 0.568 0.134
Pb6 0.362 0.278 0.997
Pb7 0.851 0.432 0.866
Pb8 0.000 0.500 0.500
Pb9 0.851 0.866 0.432
Ba1 0.000 0.000 0.000
Ba2 0.707 0.293 0.293
Ba3 0.293 0.707 0.707

As for the uncorrected energy: -3.224 eV/atom. For the energy of formation, the calculation gives -0.2976 eV/atom. For the calculated volume, the calculation gives 34.35 A^3/atom.

=====

Compound: Ca3Ta5O12
Source: the Alexandria database
Functional: PBE-GGA
Structure: relaxed

abc: 11.449 11.449 11.449
angles: 109.47 109.47 109.47
Fractional coordinates of all 80 atoms:
O1 0.881 0.831 0.512
O2 0.119 0.950 0.131
O3 0.512 0.331 0.881
O4 0.488 0.669 0.119
O5 0.131 0.681 0.512
O6 0.450 0.131 0.619
O7 0.550 0.681 0.669
O8 0.369 0.988 0.819
O9 0.988 0.619 0.169
O10 0.869 0.550 0.881
O11 0.319 0.450 0.831
O12 0.831 0.950 0.319
O13 0.450 0.319 0.331
O14 0.669 0.181 0.550
O15 0.319 0.869 0.988
O16 0.869 0.319 0.488
O17 0.181 0.512 0.631
O18 0.681 0.550 0.169
O19 0.631 0.619 0.950
O20 0.181 0.669 0.050
O21 0.050 0.881 0.369
O22 0.012 0.381 0.831
O23 0.488 0.819 0.869
O24 0.988 0.369 0.319
O25 0.169 0.119 0.988
O26 0.512 0.181 0.131
O27 0.819 0.488 0.369
O28 0.381 0.369 0.550
O29 0.331 0.512 0.381
O30 0.950 0.831 0.819
O31 0.119 0.169 0.488
O32 0.550 0.869 0.381
O33 0.050 0.169 0.181
O34 0.012 0.631 0.681
O35 0.669 0.488 0.619
O36 0.631 0.012 0.181
O37 0.619 0.631 0.450
O38 0.369 0.381 0.050
O39 0.681 0.131 0.012
O40 0.619 0.988 0.669
O41 0.131 0.450 0.119
O42 0.819 0.331 0.950
O43 0.831 0.881 0.012
O44 0.331 0.819 0.450
O45 0.881 0.050 0.869
O46 0.381 0.012 0.331
O47 0.950 0.119 0.631
O48 0.169 0.050 0.681
Ta1 0.750 0.125 0.875
Ta2 0.875 0.625 0.750
Ta3 0.375 0.125 0.750
Ta4 0.125 0.375 0.250
Ta5 0.500 0.500 0.500
Ta6 0.250 0.875 0.125
Ta7 0.500 0.000 0.500
Ta8 0.625 0.875 0.250
Ta9 0.500 0.000 0.000
Ta10 0.250 0.375 0.625
Ta11 0.000 0.500 0.500
Ta12 0.750 0.625 0.375
Ta13 0.625 0.750 0.875
Ta14 0.125 0.750 0.375
Ta15 0.875 0.250 0.625
Ta16 0.000 0.000 0.500
Ta17 0.375 0.250 0.125
Ta18 0.000 0.000 0.000
Ta19 0.000 0.500 0.000
Ta20 0.500 0.500 0.000
Ca1 0.375 0.750 0.625
Ca2 0.750 0.875 0.625
Ca3 0.250 0.625 0.875
Ca4 0.625 0.250 0.375
Ca5 0.750 0.375 0.125
Ca6 0.125 0.875 0.750
Ca7 0.875 0.125 0.250
Ca8 0.250 0.125 0.375
Ca9 0.875 0.750 0.125
Ca10 0.125 0.250 0.875
Ca11 0.625 0.375 0.750
Ca12 0.375 0.625 0.250

As for the uncorrected energy: -8.681 eV/atom. The value obtained for the formation energy (no corrections) is -2.4422 eV per atom. For the calculated volume, the calculation gives 14.44 A^3/atom.